Entry 1:
# CsBa4I8 (PBE, optimized geometry)
data_CsBa4I8
_symmetry_space_group_name_H-M 'F -4 3 m'
_symmetry_Int_Tables_number 216
_symmetry_space_group_name_Hall 'F -4 2 3'
_cell_length_a 14.932
_cell_length_b 14.932
_cell_length_c 14.932
_cell_angle_alpha 90.00
_cell_angle_beta 90.00
_cell_angle_gamma 90.00
loop_
_atom_site_label
_atom_site_type_symbol
_atom_site_fract_x
_atom_site_fract_y
_atom_site_fract_z
Cs1 Cs 0.000 0.000 0.000
Ba1 Ba 0.121 0.121 0.379
I1 I 0.112 0.112 0.612
I2 I 0.143 0.143 0.143
# **Crystal system**: cubic
# **Total magnetic moment**: 0.00 μB per formula unit
# **Final energy**: -42.07 eV/f.u.
# **V**: 3329.1 Å³ per cell
# **Uncorrected formation energy**: -21.13 eV per formula unit

---

Entry 2:
# Cs4BaI5 (PBE, optimized geometry)
data_Cs4BaI5
_symmetry_space_group_name_H-M 'R -3 m'
_symmetry_Int_Tables_number 166
_symmetry_space_group_name_Hall '-R 3 2"'
_cell_length_a 5.3450
_cell_length_b 5.3450
_cell_length_c 68.3565
_cell_angle_alpha 90.00
_cell_angle_beta 90.00
_cell_angle_gamma 120.00
loop_
_atom_site_label
_atom_site_type_symbol
_atom_site_fract_x
_atom_site_fract_y
_atom_site_fract_z
Cs1 Cs 0.0000 0.0000 0.1035
Cs2 Cs 0.0000 0.0000 0.2987
Ba1 Ba 0.0000 0.0000 0.5000
I1 I 0.0000 0.0000 0.0000
I2 I 0.0000 0.0000 0.1942
I3 I 0.0000 0.0000 0.4027
# **Crystal system**: trigonal
# **Total magnetic moment**: 0.00 μB per formula unit
# **Final energy**: -27.75 eV/f.u.
# **V**: 1691.2 Å³ per cell
# **Uncorrected formation energy**: -14.67 eV per formula unit

---

Entry 3:
# CsBaI3 (PBE, optimized geometry)
data_CsBaI3
_symmetry_space_group_name_H-M 'P n m a'
_symmetry_Int_Tables_number 62
_symmetry_space_group_name_Hall '-P 2ac 2n'
_cell_length_a 9.618
_cell_length_b 13.019
_cell_length_c 9.105
_cell_angle_alpha 90.00
_cell_angle_beta 90.00
_cell_angle_gamma 90.00
loop_
_atom_site_label
_atom_site_type_symbol
_atom_site_fract_x
_atom_site_fract_y
_atom_site_fract_z
Cs1 Cs 0.076 0.250 0.029
Ba1 Ba 0.000 0.000 0.500
I1 I 0.041 0.750 0.380
I2 I 0.201 0.561 0.804
# **Crystal system**: orthorhombic
# **Total magnetic moment**: 0.00 μB per formula unit
# **Final energy**: -15.89 eV/f.u.
# **V**: 1140.0 Å³ per cell
# **Uncorrected formation energy**: -8.46 eV per formula unit

---

Entry 4:
# CsBaI3 (PBE, optimized geometry)
data_CsBaI3
_symmetry_space_group_name_H-M 'C 1 2/c 1'
_symmetry_Int_Tables_number 15
_symmetry_space_group_name_Hall '-C 2yc'
_cell_length_a 15.415
_cell_length_b 17.344
_cell_length_c 8.882
_cell_angle_alpha 90.00
_cell_angle_beta 93.03
_cell_angle_gamma 90.00
loop_
_atom_site_label
_atom_site_type_symbol
_atom_site_fract_x
_atom_site_fract_y
_atom_site_fract_z
Cs1 Cs 0.159 0.090 0.137
Ba1 Ba 0.000 0.267 0.750
Ba2 Ba 0.000 0.426 0.250
I1 I 0.081 0.120 0.542
I2 I 0.120 0.423 0.595
I3 I 0.138 0.311 0.061
# **Crystal system**: monoclinic
# **Total magnetic moment**: 0.00 μB per formula unit
# **Final energy**: -15.77 eV/f.u.
# **V**: 2371.4 Å³ per cell
# **Uncorrected formation energy**: -8.34 eV per formula unit

---

Entry 5:
# CsBaI3 (PBE, optimized geometry)
data_CsBaI3
_symmetry_space_group_name_H-M 'P 4 m m'
_symmetry_Int_Tables_number 99
_symmetry_space_group_name_Hall 'P 4 -2'
_cell_length_a 5.805
_cell_length_b 5.805
_cell_length_c 9.662
_cell_angle_alpha 90.00
_cell_angle_beta 90.00
_cell_angle_gamma 90.00
loop_
_atom_site_label
_atom_site_type_symbol
_atom_site_fract_x
_atom_site_fract_y
_atom_site_fract_z
Cs1 Cs 0.000 0.000 0.000
Ba1 Ba 0.500 0.500 0.567
I1 I 0.000 0.000 0.390
I2 I 0.000 0.500 0.756
# **Crystal system**: tetragonal
# **Total magnetic moment**: 0.00 μB per formula unit
# **Final energy**: -14.93 eV/f.u.
# **V**: 325.6 Å³ per cell
# **Uncorrected formation energy**: -7.51 eV per formula unit

---

Entry 6:
# CsBaI3 (PBE, optimized geometry)
data_CsBaI3
_symmetry_space_group_name_H-M 'P 1'
_symmetry_Int_Tables_number 1
_symmetry_space_group_name_Hall 'P 1'
_cell_length_a 6.963
_cell_length_b 8.912
_cell_length_c 11.983
_cell_angle_alpha 74.65
_cell_angle_beta 73.53
_cell_angle_gamma 67.03
loop_
_atom_site_label
_atom_site_type_symbol
_atom_site_fract_x
_atom_site_fract_y
_atom_site_fract_z
Cs1 Cs 0.000 0.000 0.000
Cs2 Cs 0.410 0.399 0.773
Ba1 Ba 0.156 0.287 0.381
Ba2 Ba 0.795 0.835 0.559
I1 I 0.280 0.875 0.549
I2 I 0.327 0.224 0.099
I3 I 0.619 0.911 0.840
I4 I 0.649 0.252 0.432
I5 I 0.959 0.408 0.663
I6 I 0.993 0.704 0.291
# **Crystal system**: triclinic
# **Total magnetic moment**: 0.00 μB per formula unit
# **Final energy**: -15.67 eV/f.u.
# **V**: 646.4 Å³ per cell
# **Uncorrected formation energy**: -8.24 eV per formula unit

---

Entry 7:
# CsBaI3 (PBE, optimized geometry)
data_CsBaI3
_symmetry_space_group_name_H-M 'C m c m'
_symmetry_Int_Tables_number 63
_symmetry_space_group_name_Hall '-C 2c 2'
_cell_length_a 9.360
_cell_length_b 25.717
_cell_length_c 8.145
_cell_angle_alpha 90.00
_cell_angle_beta 90.00
_cell_angle_gamma 90.00
loop_
_atom_site_label
_atom_site_type_symbol
_atom_site_fract_x
_atom_site_fract_y
_atom_site_fract_z
Cs1 Cs 0.000 0.202 0.250
Ba1 Ba 0.000 0.399 0.250
I1 I 0.000 0.500 0.000
I2 I 0.233 0.186 0.750
# **Crystal system**: orthorhombic
# **Total magnetic moment**: 0.00 μB per formula unit
# **Final energy**: -14.83 eV/f.u.
# **V**: 1960.7 Å³ per cell
# **Uncorrected formation energy**: -7.41 eV per formula unit

---

Entry 8:
# CsBaI3 (PBE, optimized geometry)
data_CsBaI3
_symmetry_space_group_name_H-M 'P 1'
_symmetry_Int_Tables_number 1
_symmetry_space_group_name_Hall 'P 1'
_cell_length_a 9.188
_cell_length_b 9.194
_cell_length_c 9.468
_cell_angle_alpha 116.65
_cell_angle_beta 116.86
_cell_angle_gamma 92.32
loop_
_atom_site_label
_atom_site_type_symbol
_atom_site_fract_x
_atom_site_fract_y
_atom_site_fract_z
Cs1 Cs 0.000 0.000 0.000
Cs2 Cs 0.186 0.815 0.502
Ba1 Ba 0.501 0.506 0.142
Ba2 Ba 0.691 0.317 0.643
I1 I 0.084 0.234 0.771
I2 I 0.350 0.424 0.389
I3 I 0.420 0.899 0.274
I4 I 0.611 0.168 0.891
I5 I 0.759 0.683 0.039
I6 I 0.868 0.575 0.540
# **Crystal system**: triclinic
# **Total magnetic moment**: 0.00 μB per formula unit
# **Final energy**: -15.79 eV/f.u.
# **V**: 607.3 Å³ per cell
# **Uncorrected formation energy**: -8.37 eV per formula unit

---

Entry 9:
# Cs2BaI7 (PBE, optimized geometry)
data_Cs2BaI7
_symmetry_space_group_name_H-M 'I 4/m m m'
_symmetry_Int_Tables_number 139
_symmetry_space_group_name_Hall '-I 4 2'
_cell_length_a 9.903
_cell_length_b 9.903
_cell_length_c 12.576
_cell_angle_alpha 90.00
_cell_angle_beta 90.00
_cell_angle_gamma 90.00
loop_
_atom_site_label
_atom_site_type_symbol
_atom_site_fract_x
_atom_site_fract_y
_atom_site_fract_z
Cs1 Cs 0.000 0.500 0.250
Ba1 Ba 0.000 0.000 0.000
I1 I 0.000 0.000 0.272
I2 I 0.000 0.000 0.500
I3 I 0.239 0.239 0.000
# **Crystal system**: tetragonal
# **Total magnetic moment**: 0.00 μB per formula unit
# **Final energy**: -24.21 eV/f.u.
# **V**: 1233.3 Å³ per cell
# **Uncorrected formation energy**: -9.73 eV per formula unit

---

Entry 10:
# Cs4BaI6 (PBE, optimized geometry)
data_Cs4BaI6
_symmetry_space_group_name_H-M 'R -3 c'
_symmetry_Int_Tables_number 167
_symmetry_space_group_name_Hall '-R 3 2"c'
_cell_length_a 15.1554
_cell_length_b 15.1554
_cell_length_c 18.8861
_cell_angle_alpha 90.00
_cell_angle_beta 90.00
_cell_angle_gamma 120.00
loop_
_atom_site_label
_atom_site_type_symbol
_atom_site_fract_x
_atom_site_fract_y
_atom_site_fract_z
Cs1 Cs 0.0000 0.0000 0.2500
Cs2 Cs 0.0000 0.3775 0.2500
Ba1 Ba 0.0000 0.0000 0.0000
I1 I 0.0310 0.1979 0.3936
# **Crystal system**: trigonal
# **Total magnetic moment**: 0.00 μB per formula unit
# **Final energy**: -32.40 eV/f.u.
# **V**: 3756.7 Å³ per cell
# **Uncorrected formation energy**: -17.77 eV per formula unit

---

Entry 11:
# Cs3Ba5I12 (PBE, optimized geometry)
data_Cs3Ba5I12
_symmetry_space_group_name_H-M 'I a -3 d'
_symmetry_Int_Tables_number 230
_symmetry_space_group_name_Hall '-I 4bd 2c 3'
_cell_length_a 21.593
_cell_length_b 21.593
_cell_length_c 21.593
_cell_angle_alpha 90.00
_cell_angle_beta 90.00
_cell_angle_gamma 90.00
loop_
_atom_site_label
_atom_site_type_symbol
_atom_site_fract_x
_atom_site_fract_y
_atom_site_fract_z
Cs1 Cs 0.000 0.250 0.125
Ba1 Ba 0.000 0.000 0.000
Ba2 Ba 0.000 0.250 0.375
I1 I 0.024 0.061 0.649
# **Crystal system**: cubic
# **Total magnetic moment**: 0.00 μB per formula unit
# **Final energy**: -62.34 eV/f.u.
# **V**: 10067.8 Å³ per cell
# **Uncorrected formation energy**: -31.56 eV per formula unit

---

Entry 12:
# CsBaI3 (PBE, optimized geometry)
data_CsBaI3
_symmetry_space_group_name_H-M 'C 1 2/m 1'
_symmetry_Int_Tables_number 12
_symmetry_space_group_name_Hall '-C 2y'
_cell_length_a 22.242
_cell_length_b 5.048
_cell_length_c 10.717
_cell_angle_alpha 90.00
_cell_angle_beta 90.87
_cell_angle_gamma 90.00
loop_
_atom_site_label
_atom_site_type_symbol
_atom_site_fract_x
_atom_site_fract_y
_atom_site_fract_z
Cs1 Cs 0.200 0.000 0.229
Ba1 Ba 0.079 0.500 0.709
I1 I 0.025 0.000 0.297
I2 I 0.153 0.500 0.980
I3 I 0.176 0.000 0.604
# **Crystal system**: monoclinic
# **Total magnetic moment**: 0.00 μB per formula unit
# **Final energy**: -15.54 eV/f.u.
# **V**: 1203.3 Å³ per cell
# **Uncorrected formation energy**: -8.11 eV per formula unit